TbPrP2Pd2, relaxed, DFT PBE; total energy = -6.3426 eV/atom; ΔE_f = -1.240 eV/atom; V = 19.9 A^3/atom; space group = P-3m1, No. 164
1.0
4.221 0.000 0.000
-2.110 3.655 0.000
0.000 0.000 7.727
Pr P Pd Tb
1 2 2 1
Direct
0.000 0.000 0.000 Pr
0.333 0.667 0.258 P
0.667 0.333 0.742 P
0.667 0.333 0.262 Pd
0.333 0.667 0.738 Pd
0.000 0.000 0.500 Tb